Record 1
A relaxed Er2TmH crystal, computed with GGA-PBE.

## Properties
energy above the lowest structure with this stoichiometry	0	meV/atom
E_tot	-4.4269	eV/atom
size of the total moment	0.00	μB/f.u.

a b c (Å): 3.5537 3.5537 24.9944
angles (deg): 90.00 90.00 120.00
Space group R-3m (No. 166, hexagonal axes)
Asymmetric unit:
Er (0.0000, 0.0000, 0.2209) x6
Tm (0.0000, 0.0000, 0.0000) x3
H (0.0000, 0.0000, 0.5000) x3

=====

Record 2
A relaxed Nb2Ga2Rh crystal, computed with GGA-PBE.

## Properties
energy above the lowest structure with this stoichiometry	483	meV/atom
E_tot	-6.5857	eV/atom
E_form	0.123	eV per atom
size of the total moment	0.00	μB/f.u.

a b c (Å): 3.3913 3.3913 15.0593
angles (deg): 90.00 90.00 90.00
Space group I4/mmm (No. 139)
Asymmetric unit:
Nb (0.0000, 0.0000, 0.1003) x4
Ga (0.0000, 0.5000, 0.2500) x4
Rh (0.0000, 0.0000, 0.5000) x2